A relaxed structure of Ti3CrS. Source: Alexandria, functional PBE.

```
data_Ti3CrS
_cell_length_a 4.4177
_cell_length_b 4.4177
_cell_length_c 4.4177
_cell_angle_alpha 90.00
_cell_angle_beta 90.00
_cell_angle_gamma 90.00
_space_group_name_H-M_alt 'P 1'
_space_group_IT_number 1
loop_
_space_group_symop_operation_xyz
'x,y,z'
loop_
_atom_site_label
_atom_site_type_symbol
_atom_site_fract_x
_atom_site_fract_y
_atom_site_fract_z
_atom_site_occupancy
S1 S 0.0000 0.0000 0.0000 1
Ti1 Ti 0.0000 0.0000 0.5000 1
Ti2 Ti 0.5000 0.0000 0.0000 1
Ti3 Ti 0.0000 0.5000 0.0000 1
Cr1 Cr 0.5000 0.5000 0.5000 1
```

Values from the calculation:
space-group type: Pm-3m, No. 221
formation energy without anion corrections: 34 meV per atom



A relaxed structure of Hf2RuBr. Source: Alexandria, functional PBE.

```
data_Hf2RuBr
_cell_length_a 5.8433
_cell_length_b 5.8433
_cell_length_c 7.6902
_cell_angle_alpha 67.67
_cell_angle_beta 67.67
_cell_angle_gamma 90.00
_space_group_name_H-M_alt 'P 1'
_space_group_IT_number 1
loop_
_space_group_symop_operation_xyz
'x,y,z'
loop_
_atom_site_label
_atom_site_type_symbol
_atom_site_fract_x
_atom_site_fract_y
_atom_site_fract_z
_atom_site_occupancy
Ru1 Ru 0.0000 0.0000 0.0000 1
Ru2 Ru 0.7500 0.2500 0.5000 1
Hf1 Hf 0.6800 0.1250 0.2500 1
Hf2 Hf 0.0700 0.6250 0.2500 1
Hf3 Hf 0.3750 0.3200 0.7500 1
Hf4 Hf 0.8750 0.9300 0.7500 1
Br1 Br 0.2500 0.7500 0.5000 1
Br2 Br 0.5000 0.5000 0.0000 1
```

Values from the calculation:
space-group type: I-42d, No. 122
formation energy without anion corrections: 336 meV per atom



A relaxed structure of RbTl5Hg6. Source: Alexandria, functional PBE.

```
data_RbTl5Hg6
_cell_length_a 5.2726
_cell_length_b 9.5344
_cell_length_c 9.5344
_cell_angle_alpha 116.44
_cell_angle_beta 106.19
_cell_angle_gamma 106.19
_space_group_name_H-M_alt 'P 1'
_space_group_IT_number 1
loop_
_space_group_symop_operation_xyz
'x,y,z'
loop_
_atom_site_label
_atom_site_type_symbol
_atom_site_fract_x
_atom_site_fract_y
_atom_site_fract_z
_atom_site_occupancy
Rb1 Rb 0.0000 0.0000 0.0000 1
Tl1 Tl 0.5000 0.1610 0.8390 1
Tl2 Tl 0.5000 0.8390 0.1610 1
Tl3 Tl 0.0000 0.6738 0.3262 1
Tl4 Tl 0.5000 0.5000 0.5000 1
Tl5 Tl 0.0000 0.3262 0.6738 1
Hg1 Hg 0.7349 0.9091 0.5612 1
Hg2 Hg 0.2651 0.4388 0.0909 1
Hg3 Hg 0.7786 0.2772 0.2772 1
Hg4 Hg 0.2214 0.7228 0.7228 1
Hg5 Hg 0.2651 0.0909 0.4388 1
Hg6 Hg 0.7349 0.5612 0.9091 1
```

Values from the calculation:
space-group type: C2/m, No. 12
energy of formation from the pure elements: -63 meV/atom



A relaxed structure of Ta2CoSe. Source: Alexandria, functional PBE.

```
data_Ta2CoSe
_cell_length_a 4.8581
_cell_length_b 4.8581
_cell_length_c 4.6960
_cell_angle_alpha 73.04
_cell_angle_beta 73.04
_cell_angle_gamma 36.75
_space_group_name_H-M_alt 'P 1'
_space_group_IT_number 1
loop_
_space_group_symop_operation_xyz
'x,y,z'
loop_
_atom_site_label
_atom_site_type_symbol
_atom_site_fract_x
_atom_site_fract_y
_atom_site_fract_z
_atom_site_occupancy
Ta1 Ta 0.9844 0.9844 0.0570 1
Ta2 Ta 0.7735 0.7735 0.6862 1
Co1 Co 0.5054 0.5054 0.5507 1
Se1 Se 0.2367 0.2367 0.2061 1
```

Values from the calculation:
space-group type: Cm, No. 8
formation energy without anion corrections: -41 meV per atom



A relaxed structure of Tm5GaRh. Source: Alexandria, functional PBE.

```
data_Tm5GaRh
_cell_length_a 5.7458
_cell_length_b 5.7458
_cell_length_c 11.6884
_cell_angle_alpha 78.01
_cell_angle_beta 78.01
_cell_angle_gamma 76.94
_space_group_name_H-M_alt 'P 1'
_space_group_IT_number 1
loop_
_space_group_symop_operation_xyz
'x,y,z'
loop_
_atom_site_label
_atom_site_type_symbol
_atom_site_fract_x
_atom_site_fract_y
_atom_site_fract_z
_atom_site_occupancy
Ga1 Ga 0.4162 0.5838 0.2500 1
Ga2 Ga 0.5838 0.4162 0.7500 1
Rh1 Rh 0.0000 0.0000 0.0000 1
Rh2 Rh 0.0000 0.0000 0.5000 1
Tm1 Tm 0.9867 0.0133 0.7500 1
Tm2 Tm 0.5360 0.2125 0.0692 1
Tm3 Tm 0.2125 0.5360 0.5692 1
Tm4 Tm 0.4253 0.0868 0.3740 1
Tm5 Tm 0.4640 0.7875 0.9308 1
Tm6 Tm 0.0133 0.9867 0.2500 1
Tm7 Tm 0.5747 0.9132 0.6260 1
Tm8 Tm 0.7875 0.4640 0.4308 1
Tm9 Tm 0.0868 0.4253 0.8740 1
Tm10 Tm 0.9132 0.5747 0.1260 1
```

Values from the calculation:
space-group type: C2/c, No. 15
energy of formation from the pure elements: -306 meV/atom



A relaxed structure of NbZn3Te. Source: Alexandria, functional PBE.

```
data_NbZn3Te
_cell_length_a 5.0847
_cell_length_b 5.0847
_cell_length_c 5.0847
_cell_angle_alpha 90.00
_cell_angle_beta 90.00
_cell_angle_gamma 90.00
_space_group_name_H-M_alt 'P 1'
_space_group_IT_number 1
loop_
_space_group_symop_operation_xyz
'x,y,z'
loop_
_atom_site_label
_atom_site_type_symbol
_atom_site_fract_x
_atom_site_fract_y
_atom_site_fract_z
_atom_site_occupancy
Nb1 Nb 0.0000 0.0000 0.0000 1
Zn1 Zn 0.5000 0.0000 0.0000 1
Zn2 Zn 0.0000 0.0000 0.5000 1
Zn3 Zn 0.0000 0.5000 0.0000 1
Te1 Te 0.5000 0.5000 0.5000 1
```

Values from the calculation:
space-group type: Pm-3m, No. 221
formation energy without anion corrections: 959 meV per atom



A relaxed structure of HoZrAl4. Source: Alexandria, functional PBE.

```
data_HoZrAl4
_cell_length_a 5.4301
_cell_length_b 5.4301
_cell_length_c 5.4301
_cell_angle_alpha 60.00
_cell_angle_beta 60.00
_cell_angle_gamma 60.00
_space_group_name_H-M_alt 'P 1'
_space_group_IT_number 1
loop_
_space_group_symop_operation_xyz
'x,y,z'
loop_
_atom_site_label
_atom_site_type_symbol
_atom_site_fract_x
_atom_site_fract_y
_atom_site_fract_z
_atom_site_occupancy
Ho1 Ho 0.2500 0.2500 0.2500 1
Al1 Al 0.6252 0.6252 0.1244 1
Al2 Al 0.6252 0.1244 0.6252 1
Al3 Al 0.6252 0.6252 0.6252 1
Al4 Al 0.1244 0.6252 0.6252 1
Zr1 Zr 0.0000 0.0000 0.0000 1
```

Values from the calculation:
space-group type: F-43m, No. 216
energy of formation from the pure elements: -513 meV/atom



A relaxed structure of Hf2TlP. Source: Alexandria, functional PBE.

```
data_Hf2TlP
_cell_length_a 5.8301
_cell_length_b 5.8301
_cell_length_c 7.8793
_cell_angle_alpha 68.29
_cell_angle_beta 68.29
_cell_angle_gamma 90.00
_space_group_name_H-M_alt 'P 1'
_space_group_IT_number 1
loop_
_space_group_symop_operation_xyz
'x,y,z'
loop_
_atom_site_label
_atom_site_type_symbol
_atom_site_fract_x
_atom_site_fract_y
_atom_site_fract_z
_atom_site_occupancy
P1 P 0.2500 0.7500 0.5000 1
P2 P 0.5000 0.5000 0.0000 1
Tl1 Tl 0.7500 0.2500 0.5000 1
Tl2 Tl 0.0000 0.0000 0.0000 1
Hf1 Hf 0.5678 0.1250 0.2500 1
Hf2 Hf 0.8750 0.8178 0.7500 1
Hf3 Hf 0.1822 0.6250 0.2500 1
Hf4 Hf 0.3750 0.4322 0.7500 1
```

Values from the calculation:
space-group type: I-42d, No. 122
energy of formation from the pure elements: 349 meV/atom